# 1
Below is crystalline VNi2RuO6 at its relaxed geometry, with properties calculated at the PBE with a Hubbard U level.

Computed properties:
Final energy = -6.148 eV/atom
D(E_F) = 1.48 states/eV/f.u.

Structure (CIF):
```
data_VNi2RuO6
_cell_length_a 5.711
_cell_length_b 5.711
_cell_length_c 3.770
_cell_angle_alpha 90.00
_cell_angle_beta 90.00
_cell_angle_gamma 90.00
_space_group_name_H-M_alt 'P 1'
_space_group_IT_number 1
loop_
_space_group_symop_operation_xyz
'x,y,z'
loop_
_atom_site_label
_atom_site_type_symbol
_atom_site_fract_x
_atom_site_fract_y
_atom_site_fract_z
V1 V 0.000 0.000 0.000
Ni1 Ni 0.000 0.500 0.169
Ni2 Ni 0.500 0.000 0.169
Ru1 Ru 0.500 0.500 0.055
O1 O 0.000 0.000 0.551
O2 O 0.246 0.246 0.083
O3 O 0.246 0.754 0.083
O4 O 0.500 0.500 0.559
O5 O 0.754 0.246 0.083
O6 O 0.754 0.754 0.083
```

# 2
Below is crystalline NiS2O6 at its relaxed geometry, with properties calculated at the PBE with a Hubbard U level.

Computed properties:
ΔE to the lowest computed polymorph = 0 meV/atom
D(E_F) = 0.00 states/eV/f.u.

Structure (CIF):
```
data_NiS2O6
_cell_length_a 6.523
_cell_length_b 6.523
_cell_length_c 6.523
_cell_angle_alpha 45.35
_cell_angle_beta 45.35
_cell_angle_gamma 45.35
_space_group_name_H-M_alt 'P 1'
_space_group_IT_number 1
loop_
_space_group_symop_operation_xyz
'x,y,z'
loop_
_atom_site_label
_atom_site_type_symbol
_atom_site_fract_x
_atom_site_fract_y
_atom_site_fract_z
Ni1 Ni 0.000 0.000 0.000
S1 S 0.274 0.274 0.274
S2 S 0.394 0.394 0.394
O1 O 0.000 0.563 0.201
O2 O 0.160 0.357 0.722
O3 O 0.201 0.000 0.563
O4 O 0.357 0.722 0.160
O5 O 0.563 0.201 0.000
O6 O 0.722 0.160 0.357
```

# 3
Below is crystalline Ni2SO at its relaxed geometry, with properties calculated at the PBE with a Hubbard U level.

Computed properties:
ΔE to the lowest computed polymorph = 1124 meV/atom
D(E_F) = 1.54 states/eV/f.u.

Structure (CIF):
```
data_Ni2SO
_cell_length_a 3.847
_cell_length_b 3.847
_cell_length_c 3.847
_cell_angle_alpha 60.00
_cell_angle_beta 60.00
_cell_angle_gamma 60.00
_space_group_name_H-M_alt 'P 1'
_space_group_IT_number 1
loop_
_space_group_symop_operation_xyz
'x,y,z'
loop_
_atom_site_label
_atom_site_type_symbol
_atom_site_fract_x
_atom_site_fract_y
_atom_site_fract_z
Ni1 Ni 0.250 0.250 0.250
Ni2 Ni 0.750 0.750 0.750
S1 S 0.000 0.000 0.000
O1 O 0.500 0.500 0.500
```